*one*
Material: NdTh2Nb
Method: DFT, PBE
State: optimized geometry

Unit cell a=3.6647 b=3.6647 c=8.6154 alpha=90.00 beta=90.00 gamma=90.00
Last column: nearest neighbours and their distance in Å.
Atoms (fractional coordinates):
Nb  0.5000  0.5000  0.0000  8 Th 3.17
Nd  0.5000  0.5000  0.5000  8 Th 3.59, 4 Nd 3.66
Th  0.0000  0.0000  0.7876  4 Nb 3.17
Th  0.0000  0.0000  0.2124  4 Nb 3.17

- SG: P4/mmm (123)
- DOS at the Fermi energy: 5.53 states/eV/cell
- V: 28.9 Å³ per atom

---

*two*
Material: NdTh2Nb
Method: DFT, PBE
State: optimized geometry

Unit cell a=3.3537 b=3.3537 c=12.0683 alpha=82.01 beta=82.01 gamma=60.00
Last column: nearest neighbours and their distance in Å.
Atoms (fractional coordinates):
Nb  0.5000  0.5000  0.5000  6 Th 3.26, 6 Nb 3.35
Nd  0.0000  0.0000  0.0000  2 Th 3.34, 6 Nd 3.35
Th  0.0934  0.0934  0.7199  3 Nb 3.26, 1 Nd 3.34, 6 Th 3.35
Th  0.9066  0.9066  0.2801  3 Nb 3.26, 1 Nd 3.34, 6 Th 3.35

- SG: R-3m (166)
- DOS at the Fermi energy: 7.36 states/eV/cell
- V: 29.0 Å³ per atom

---

Least stable structure: *two*

---

*one*
Material: Nb5Ni
Method: DFT, PBE
State: optimized geometry

Unit cell a=8.4197 b=8.4197 c=8.4197 alpha=60.00 beta=60.00 gamma=60.00
Last column: nearest neighbours and their distance in Å.
Atoms (fractional coordinates):
Nb  0.8400  0.8400  0.4799  3 Ni 2.63, 3 Nb 2.71
Nb  0.1839  0.8161  0.8161  2 Nb 2.71
Nb  0.4799  0.8400  0.8400  3 Ni 2.63, 3 Nb 2.71
Nb  0.0661  0.4339  0.4339  2 Nb 2.71
Nb  0.4100  0.4100  0.7701  3 Ni 2.63, 3 Nb 2.71
Nb  0.0661  0.0661  0.4339  2 Nb 2.71
Nb  0.4339  0.4339  0.0661  2 Nb 2.71
Nb  0.7701  0.4100  0.4100  3 Ni 2.63, 3 Nb 2.71
Nb  0.8400  0.4799  0.8400  3 Ni 2.63, 3 Nb 2.71
Nb  0.4100  0.4100  0.4100  3 Ni 2.63, 3 Nb 2.71
Nb  0.0661  0.4339  0.0661  2 Nb 2.71
Nb  0.4339  0.0661  0.4339  2 Nb 2.71
Nb  0.8161  0.1839  0.8161  2 Nb 2.71
Nb  0.8161  0.8161  0.1839  2 Nb 2.71
Nb  0.4339  0.0661  0.0661  2 Nb 2.71
Nb  0.4100  0.7701  0.4100  3 Ni 2.63, 3 Nb 2.71
Nb  0.8400  0.8400  0.8400  3 Ni 2.63, 3 Nb 2.71
Nb  0.1839  0.1839  0.8161  2 Nb 2.71
Nb  0.8161  0.1839  0.1839  2 Nb 2.71
Nb  0.1839  0.8161  0.1839  2 Nb 2.71
Ni  0.1250  0.6250  0.6250  6 Nb 2.63
Ni  0.6250  0.6250  0.1250  6 Nb 2.63
Ni  0.6250  0.6250  0.6250  6 Nb 2.63
Ni  0.6250  0.1250  0.6250  6 Nb 2.63

- SG: Fd-3m (227)
- DOS at the Fermi energy: 32.94 states/eV/cell
- V: 17.6 Å³ per atom

---

*two*
Material: Nb5Ni
Method: DFT, PBE
State: optimized geometry

Unit cell a=3.3270 b=4.5973 c=7.1036 alpha=108.88 beta=90.00 gamma=90.00
Last column: nearest neighbours and their distance in Å.
Atoms (fractional coordinates):
Ni  0.0000  0.0000  0.0000  8 Nb 2.75-2.84
Nb  0.0000  0.6634  0.3267  8 Nb 2.75-2.87
Nb  0.0000  0.3366  0.6733  8 Nb 2.75-2.87
Nb  0.5000  0.5000  0.0000  4 Nb 2.75, 4 Ni 2.84
Nb  0.5000  0.1627  0.3253  2 Ni 2.75, 6 Nb 2.84-2.87
Nb  0.5000  0.8373  0.6747  2 Ni 2.75, 6 Nb 2.84-2.87

- SG: Cmmm (65)
- DOS at the Fermi energy: 5.76 states/eV/cell
- V: 17.1 Å³ per atom

---

Least stable structure: *one*